Record 1
! Tm2In2GeRh4 PBE-GGA optimized geometry; values from VASP
! DFT formation energy: -3.4 eV per formula unit
! volume: 19.7 Å³ per atom
&SYSTEM
  ibrav = 0, nat = 9, ntyp = 4
/
ATOMIC_SPECIES
Tm 168.93 Tm.upf
In 114.82 In.upf
Ge 72.64 Ge.upf
Rh 102.91 Rh.upf
CELL_PARAMETERS angstrom
6.293 -0.051 -0.074
-3.066 5.496 0.074
-3.066 -1.861 5.172
ATOMIC_POSITIONS crystal
Tm 0.000 0.693 0.693
Tm 0.000 0.307 0.307
In 0.500 0.750 0.250
In 0.500 0.250 0.750
Ge 0.000 0.000 0.000
Rh 0.000 0.737 0.263
Rh 0.474 0.737 0.737
Rh 0.000 0.263 0.737
Rh 0.526 0.263 0.263


Record 2
! InGeRh2W PBE-GGA optimized geometry; values from VASP
! DFT formation energy: 3.8 eV per formula unit
! volume: 19.3 Å³ per atom
&SYSTEM
  ibrav = 0, nat = 5, ntyp = 4
/
ATOMIC_SPECIES
Ge 72.64 Ge.upf
Rh 102.91 Rh.upf
W 183.84 W.upf
In 114.82 In.upf
CELL_PARAMETERS angstrom
-0.760 -2.840 3.442
-0.587 -3.546 -3.056
4.427 -0.921 0.218
ATOMIC_POSITIONS crystal
Ge 0.000 0.000 0.000
Rh 0.000 0.000 0.500
Rh 0.500 0.000 0.000
W 0.000 0.500 0.000
In 0.500 0.500 0.500


Record 3
! Y2InGe3Rh4 PBE-GGA optimized geometry; values from VASP
! DFT formation energy: -7.7 eV per formula unit
! volume: 18.7 Å³ per atom
&SYSTEM
  ibrav = 0, nat = 10, ntyp = 4
/
ATOMIC_SPECIES
Y 88.91 Y.upf
In 114.82 In.upf
Ge 72.64 Ge.upf
Rh 102.91 Rh.upf
CELL_PARAMETERS angstrom
4.161 0.000 0.000
0.000 4.161 0.000
0.000 0.000 10.774
ATOMIC_POSITIONS crystal
Y 0.500 0.000 0.240
Y 0.000 0.500 0.760
In 0.500 0.500 0.500
Ge 0.000 0.000 0.500
Ge 0.500 0.000 0.875
Ge 0.000 0.500 0.125
Rh 0.500 0.500 0.000
Rh 0.000 0.000 0.000
Rh 0.500 0.000 0.651
Rh 0.000 0.500 0.349